Record 1
AgBi2Rh: relaxed, GGA-PBE.

```
AgBi2Rh
1.0
-3.215 1.715 0.097
-2.387 -0.751 2.650
1.803 6.908 6.089
Rh Bi Ag
1 2 1
direct
0.500 0.500 0.500
0.102 0.102 0.694
0.898 0.898 0.306
0.000 0.000 0.000
```

Properties
Formation energy from the elements ... 0.08 eV/atom

---

Record 2
CaSbI2Cl: relaxed, GGA-PBE.

```
CaSbI2Cl
1.0
-1.969 -4.432 4.346
-4.086 -2.507 -4.407
3.602 -3.129 -1.559
I Sb Ca Cl
2 1 1 1
direct
0.000 0.500 0.000
0.500 0.000 0.000
0.000 0.000 0.500
0.500 0.500 0.500
0.000 0.000 0.000
```

Properties
Energy relative to the lowest polymorph listed for this composition ... 146.1 meV/atom

---

Record 3
LaHAu2: relaxed, GGA-PBE.

```
LaHAu2
1.0
-0.976 4.808 -3.895
-5.788 -2.102 -1.145
-4.780 3.541 0.532
H Au La
2 4 2
direct
0.500 0.500 0.000
0.250 0.750 0.500
0.470 0.125 0.250
0.280 0.625 0.250
0.375 0.530 0.750
0.875 0.720 0.750
0.000 0.000 0.000
0.750 0.250 0.500
```

Properties
Energy relative to the lowest polymorph listed for this composition ... 411.8 meV/atom

---

Record 4
Pm2NdPbC: relaxed, GGA-PBE.

```
Pm2NdPbC
1.0
-2.266 -0.893 4.519
3.429 -3.629 1.002
3.020 3.461 2.199
Pm Nd Pb C
2 1 1 1
direct
0.000 0.000 0.500
0.000 0.500 0.000
0.500 0.000 0.000
0.500 0.500 0.500
0.000 0.000 0.000
```

Properties
Formation energy from the elements ... -0.43 eV/atom

---

Listing total magnetic moment for the structures above in their given order: 0.0, 1.9, 0.0, 0.0 μB/f.u..
Listing density of states at the Fermi level for the structures above in their given order: 1.00, 4.01, 2.66, 2.63 states/eV/f.u..